[1]
SmY3S4 | PBE | optimized geometry

The structure belongs to space group Pm-3m (No. 221); the cell edges are 5.577, 5.577 and 5.577 Å and the angles 90.00°, 90.00° and 90.00°. The distinct sites, in fractional coordinates, are Sm at (0.000, 0.000, 0.000), Y at (0.000, 0.500, 0.500), S at (0.000, 0.000, 0.500) and S at (0.500, 0.500, 0.500).

The energy relative to the elements, uncorrected is -1535 kJ/mol of formula units. The uncorrected energy is -56.5 eV per formula unit. The value obtained for the polymorph energy (0 for the lowest one) is 12 meV per atom.



[2]
Bi2Rh2Se | PBE | optimized geometry

The structure belongs to space group P4/mbm (No. 127); the cell edges are 7.487, 7.487 and 3.730 Å and the angles 90.00°, 90.00° and 90.00°. The distinct sites, in fractional coordinates, are Bi at (0.158, 0.342, 0.000), Rh at (0.137, 0.637, 0.500) and Se at (0.000, 0.000, 0.500).

The energy relative to the elements, uncorrected is -11 kJ/mol of formula units. The uncorrected energy is -26.1 eV per formula unit.



[3]
LuPuAgPt | PBE | optimized geometry

The structure belongs to space group F-43m (No. 216); the cell edges are 7.072, 7.072 and 7.072 Å and the angles 90.00°, 90.00° and 90.00°. The distinct sites, in fractional coordinates, are Lu at (0.000, 0.000, 0.000), Pu at (0.000, 0.000, 0.500), Ag at (0.250, 0.250, 0.250) and Pt at (0.250, 0.250, 0.750).

The uncorrected energy is -29.9 eV per formula unit. The formation energy from the elements comes out at -0.5324 eV/atom.



[4]
Na3Ag5Bi2 | PBE | optimized geometry

The structure belongs to space group Ibam (No. 72); the cell edges are 11.082, 15.666 and 5.960 Å and the angles 90.00°, 90.00° and 90.00°. The distinct sites, in fractional coordinates, are Na at (0.000, 0.000, 0.250), Na at (0.223, 0.332, 0.000), Ag at (0.000, 0.199, 0.250), Ag at (0.000, 0.500, 0.250), Ag at (0.055, 0.350, 0.500) and Bi at (0.191, 0.114, 0.000).

The uncorrected energy is -26.1 eV per formula unit. The formation energy from the elements comes out at -0.0134 eV/atom.



[5]
AlAuI5 | PBE | optimized geometry

The structure belongs to space group Pnma (No. 62); the cell edges are 10.260, 9.063 and 13.898 Å and the angles 90.00°, 90.00° and 90.00°. The distinct sites, in fractional coordinates, are Al at (0.123, 0.250, 0.116), Au at (0.114, 0.750, 0.235), I at (0.087, 0.750, 0.979), I at (0.118, 0.057, 0.259), I at (0.128, 0.250, 0.674) and I at (0.170, 0.750, 0.521).

The energy relative to the elements, uncorrected is -228 kJ/mol of formula units. The uncorrected energy is -17.1 eV per formula unit.



[6]
UZnIn | PBE | optimized geometry

The structure belongs to space group I4mm (No. 107); the cell edges are 2.943, 2.943 and 14.265 Å and the angles 90.00°, 90.00° and 90.00°. The distinct sites, in fractional coordinates, are U at (0.000, 0.000, 0.000), Zn at (0.000, 0.000, 0.661) and In at (0.000, 0.000, 0.317).

The uncorrected energy is -14.9 eV per formula unit. The formation energy from the elements comes out at 0.1495 eV/atom.



[7]
PmTaSi2Ru | PBE | optimized geometry

The structure belongs to space group I-4m2 (No. 119); the cell edges are 4.052, 4.052 and 11.097 Å and the angles 90.00°, 90.00° and 90.00°. The distinct sites, in fractional coordinates, are Pm at (0.000, 0.000, 0.000), Ta at (0.000, 0.500, 0.750), Si at (0.000, 0.000, 0.390) and Ru at (0.000, 0.500, 0.250).

The energy relative to the elements, uncorrected is -317 kJ/mol of formula units. The uncorrected energy is -40.0 eV per formula unit.



[8]
TmZnAu4 | PBE | optimized geometry

The structure belongs to space group P-1 (No. 2); the cell edges are 5.051, 5.051 and 9.572 Å and the angles 75.65°, 75.58° and 89.86°. The distinct sites, in fractional coordinates, are Tm at (0.250, 0.250, 0.000), Zn at (0.000, 0.500, 0.500), Zn at (0.500, 0.000, 0.500), Au at (0.084, 0.086, 0.345), Au at (0.168, 0.667, 0.176), Au at (0.334, 0.833, 0.824) and Au at (0.414, 0.414, 0.655).

The uncorrected energy is -21.7 eV per formula unit. The formation energy from the elements comes out at -0.4692 eV/atom.